[1]
The following is a DFT calculation (PBE) of a geometry-optimized RbGd4As3 structure.

Values from the calculation:
As for the total energy: -5.008 eV/atom. Its volume is 32.6 Å³/atom. Its space group is P4/mmm, No. 123. The calculation puts the total moment at 0.01 μB/cell.

Structure (extended XYZ):
```
8
Lattice="4.892 0.000 0.000 0.000 4.892 0.000 0.000 0.000 10.907" Properties=species:S:1:pos:R:3 pbc="T T T"
Rb 0.000 0.000 0.000
Gd 0.000 2.446 3.685
Gd 0.000 2.446 7.223
Gd 2.446 0.000 3.685
Gd 2.446 0.000 7.223
As 0.000 0.000 5.454
As 2.446 2.446 2.170
As 2.446 2.446 8.737
```

***

[2]
The following is a DFT calculation (PBE) of a geometry-optimized InIrAu2 structure.

Values from the calculation:
As for the total energy: -4.414 eV/atom. Its volume is 17.7 Å³/atom. Its space group is F-43m, No. 216. The calculation puts the total moment at 0.01 μB/cell.

Structure (extended XYZ):
```
4
Lattice="0.000 3.284 3.284 3.284 0.000 3.284 3.284 3.284 0.000" Properties=species:S:1:pos:R:3 pbc="T T T"
In 0.000 0.000 0.000
Ir 1.642 1.642 1.642
Au 3.284 3.284 3.284
Au 4.926 4.926 4.926
```

***

[3]
The following is a DFT calculation (PBE) of a geometry-optimized Nb4FePbC2 structure.

Values from the calculation:
As for the total energy: -9.024 eV/atom. Its volume is 15.1 Å³/atom. Its space group is P-6m2, No. 187. The calculation puts the total moment at 1.40 μB/cell.

Structure (extended XYZ):
```
8
Lattice="3.177 0.000 0.000 -1.588 2.751 0.000 0.000 0.000 13.850" Properties=species:S:1:pos:R:3 pbc="T T T"
Nb 0.000 0.000 1.953
Nb 0.000 0.000 11.897
Nb 0.000 1.834 4.418
Nb 0.000 1.834 9.432
Fe 0.000 1.834 0.000
Pb 0.000 0.000 6.925
C 1.588 0.917 3.191
C 1.588 0.917 10.659
```

***

[4]
The following is a DFT calculation (PBE) of a geometry-optimized BaLaCuSi3 structure.

Values from the calculation:
As for the total energy: -5.020 eV/atom. Its volume is 23.1 Å³/atom. Its space group is Fmmm, No. 69. The calculation puts the total moment at 0.01 μB/cell. For the energy above the lowest structure with this stoichiometry, the calculation gives 0 meV/atom.

Structure (extended XYZ):
```
12
Lattice="0.000 4.645 7.265 4.109 0.000 7.265 4.109 4.645 0.000" Properties=species:S:1:pos:R:3 pbc="T T T"
Ba 2.055 2.323 3.633
Ba 6.164 6.968 10.898
La 4.109 2.226 7.265
La 4.109 7.065 7.265
Cu 4.109 4.645 4.871
Cu 4.109 4.645 9.660
Si 4.109 4.645 2.355
Si 6.130 4.645 6.090
Si 6.130 4.645 8.441
Si 2.088 4.645 6.090
Si 2.088 4.645 8.441
Si 4.109 4.645 12.175
```

***

[5]
The following is a DFT calculation (PBE) of a geometry-optimized NbCdPtAu structure.

Values from the calculation:
As for the total energy: -5.267 eV/atom. Its volume is 17.9 Å³/atom. Its space group is F-43m, No. 216. The calculation puts the total moment at 0.00 μB/cell. For the energy above the lowest structure with this stoichiometry, the calculation gives 0 meV/atom. The formation energy from the elements is -189 meV per atom.

Structure (extended XYZ):
```
4
Lattice="0.000 3.297 3.297 3.297 0.000 3.297 3.297 3.297 0.000" Properties=species:S:1:pos:R:3 pbc="T T T"
Nb 0.000 0.000 0.000
Cd 3.297 3.297 3.297
Pt 4.946 4.946 4.946
Au 1.649 1.649 1.649
```

***

[6]
The following is a DFT calculation (PBE) of a geometry-optimized SmYFe8B2 structure.

Values from the calculation:
As for the total energy: -7.791 eV/atom. Its volume is 13.1 Å³/atom. Its space group is P6/mmm, No. 191. The calculation puts the total moment at 15.09 μB/cell. For the energy above the lowest structure with this stoichiometry, the calculation gives 0 meV/atom.

Structure (extended XYZ):
```
12
Lattice="5.093 0.000 0.000 -2.547 4.411 0.000 0.000 0.000 7.018" Properties=species:S:1:pos:R:3 pbc="T T T"
Sm 0.000 0.000 0.000
Y 0.000 0.000 3.509
Fe -1.273 2.206 2.015
Fe -1.273 2.206 5.003
Fe 0.000 2.941 0.000
Fe 2.547 0.000 2.015
Fe 2.547 0.000 5.003
Fe 1.273 2.206 2.015
Fe 1.273 2.206 5.003
Fe 2.547 1.470 0.000
B 0.000 2.941 3.509
B 2.547 1.470 3.509
```

***

[7]
The following is a DFT calculation (PBE) of a geometry-optimized BaAgO3 structure.

Values from the calculation:
As for the total energy: -5.001 eV/atom. Its volume is 15.8 Å³/atom. Its space group is P1, No. 1.

Structure (extended XYZ):
```
10
Lattice="3.935 0.000 0.000 -0.533 6.323 0.000 -0.263 -0.791 6.361" Properties=species:S:1:pos:R:3 pbc="T T T"
Ba 0.000 0.000 0.000
Ba -0.017 2.308 3.471
Ag 1.407 5.825 3.130
Ag 1.912 2.829 0.322
O 0.742 4.401 1.642
O 1.170 3.848 5.470
O 1.904 1.147 1.740
O 2.003 0.793 4.850
O 1.956 4.073 4.276
O 3.257 4.283 1.772
```

***

[8]
The following is a DFT calculation (PBE) of a geometry-optimized LiZnPO4 structure.

Values from the calculation:
As for the total energy: -6.197 eV/atom. Its volume is 11.8 Å³/atom. Its space group is Cc, No. 9. For the energy above the lowest structure with this stoichiometry, the calculation gives 0 meV/atom.

Structure (extended XYZ):
```
112
Lattice="8.600 -4.854 0.000 8.600 4.854 0.000 -2.478 0.000 15.868" Properties=species:S:1:pos:R:3 pbc="T T T"
Li 8.600 4.332 0.000
Li 1.378 0.594 3.967
Li 2.347 1.588 15.861
Li 0.139 -0.594 11.901
Li 4.499 1.789 11.908
Li 3.586 -1.588 7.927
Li 7.877 0.835 7.905
Li 9.500 0.888 3.946
Li 5.738 -1.789 3.973
Li 10.424 1.885 15.864
Li 6.638 -0.835 15.840
Li 12.515 1.575 11.900
Li 8.261 -0.888 11.880
Li 11.663 -1.885 7.929
Li 7.361 -4.332 7.934
Li 13.754 -1.575 3.965
Zn 8.713 3.045 5.962
Zn 4.457 0.585 5.969
Zn 10.822 3.284 1.983
Zn 3.218 -0.585 13.903
Zn 7.079 0.529 1.985
Zn 8.021 1.571 13.896
Zn 5.840 -0.529 9.919
Zn 10.147 1.869 9.929
Zn 13.512 0.871 5.976
Zn 9.260 -1.571 5.961
Zn 15.131 0.861 2.004
Zn 11.386 -1.869 1.995
Zn 7.474 -3.045 13.897
Zn 12.273 -0.871 13.911
Zn 9.583 -3.284 9.917
Zn 13.892 -0.861 9.938
P 5.859 3.013 6.967
P 1.580 0.588 6.962
P 8.023 3.313 2.988
P 4.255 0.585 2.960
P 0.341 -0.588 14.896
P 5.155 1.550 14.871
P 3.015 -0.585 10.894
P 7.333 1.845 10.888
P 10.664 0.893 6.934
P 6.394 -1.550 6.937
P 12.351 0.896 2.996
P 4.620 -3.013 14.902
P 8.572 -1.845 2.954
P 9.424 -0.893 14.868
P 6.784 -3.313 10.922
P 11.112 -0.896 10.930
O 6.610 3.903 2.775
O 1.777 1.561 8.149
O 6.081 3.964 8.166
O -0.853 0.350 15.198
O 4.089 1.533 1.747
O 5.278 3.074 14.633
O 0.386 -0.350 7.264
O 4.672 2.064 7.267
O 8.738 3.937 4.215
O 4.483 1.470 4.215
O 8.897 3.624 1.744
O 1.753 0.269 11.158
O 6.078 2.702 11.187
O 1.597 0.278 14.632
O 2.992 -0.269 3.224
O 7.113 2.152 6.677
O 2.837 -0.278 6.698
O 6.720 1.229 0.213
O 8.675 3.399 13.634
O 4.477 0.909 13.629
O 7.897 1.789 3.241
O 4.223 0.346 10.627
O 8.542 2.775 10.632
O 3.016 -1.561 0.214
O 5.462 -0.346 2.693
O 7.124 0.936 9.652
O 2.850 -1.533 9.682
O 6.574 0.981 15.113
O 3.243 -1.470 12.149
O 7.584 0.914 12.102
O 9.945 1.525 5.712
O 5.716 -0.909 5.695
O 10.944 1.497 2.780
O 5.481 -1.229 8.147
O 9.764 1.176 8.163
O 3.433 -2.064 15.201
O 8.364 -0.936 1.717
O 12.071 1.492 7.168
O 7.813 -0.981 7.179
O 9.595 0.626 14.620
O 13.102 1.551 4.180
O 8.823 -0.914 4.167
O 13.206 1.157 1.725
O 6.658 -1.789 11.175
O 10.954 0.619 11.210
O 5.874 -2.152 14.611
O 7.317 -2.702 3.252
O 10.835 -0.626 6.686
O 6.517 -3.074 6.699
O 11.003 -1.176 0.229
O 12.924 0.952 13.663
O 8.706 -1.525 13.647
O 12.193 -0.619 3.275
O 5.371 -3.903 10.709
O 9.704 -1.497 10.714
O 7.320 -3.964 0.232
O 9.781 -2.775 2.697
O 11.967 -1.157 9.659
O 7.658 -3.624 9.678
O 10.831 -1.492 15.102
O 7.499 -3.937 12.150
O 11.863 -1.551 12.115
O 14.163 -0.952 5.729
O 9.914 -3.399 5.700
```

***

[9]
The following is a DFT calculation (PBE) of a geometry-optimized PrSmPO structure.

Values from the calculation:
As for the total energy: -6.751 eV/atom. Its volume is 21.8 Å³/atom. Its space group is P4/nmm, No. 129. The calculation puts the total moment at 0.00 μB/cell. For the energy above the lowest structure with this stoichiometry, the calculation gives 230 meV/atom.

Structure (extended XYZ):
```
8
Lattice="4.382 0.000 0.000 0.000 4.382 0.000 0.000 0.000 9.079" Properties=species:S:1:pos:R:3 pbc="T T T"
Pr 1.095 3.286 0.000
Pr 3.286 1.095 0.000
Sm 1.095 1.095 3.610
Sm 3.286 3.286 5.469
P 1.095 1.095 7.195
P 3.286 3.286 1.884
O 1.095 3.286 4.539
O 3.286 1.095 4.539
```

***

[10]
The following is a DFT calculation (PBE) of a geometry-optimized TbGaO3 structure.

Values from the calculation:
As for the total energy: -7.086 eV/atom. Its volume is 13.5 Å³/atom. Its space group is R-3c, No. 167. The calculation puts the total moment at 0.00 μB/cell.

Structure (extended XYZ):
```
10
Lattice="2.786 1.609 5.032 -2.786 1.609 5.032 0.000 -3.217 5.032" Properties=species:S:1:pos:R:3 pbc="T T T"
Tb 0.000 0.000 0.000
Tb 0.000 0.000 7.547
Ga 0.000 0.000 3.774
Ga 0.000 0.000 11.321
O -1.887 -0.052 6.290
O -0.899 -1.660 8.805
O 0.988 -1.609 6.290
O -0.988 1.609 8.805
O 0.899 1.660 6.290
O 1.887 0.052 8.805
```

***

[11]
The following is a DFT calculation (PBE) of a geometry-optimized GdAgSnS3 structure.

Values from the calculation:
As for the total energy: -4.932 eV/atom. Its volume is 23.7 Å³/atom. Its space group is P2_1/m, No. 11. The calculation puts the total moment at 0.00 μB/cell. For the energy above the lowest structure with this stoichiometry, the calculation gives 45 meV/atom.

Structure (extended XYZ):
```
12
Lattice="7.485 0.000 0.000 0.000 4.049 0.000 -2.511 0.000 9.369" Properties=species:S:1:pos:R:3 pbc="T T T"
Gd 1.218 1.012 1.410
Gd 3.756 3.037 7.959
Ag 1.845 3.037 3.881
Ag 3.129 1.012 5.488
Sn -0.283 3.037 6.484
Sn 5.257 1.012 2.885
S -1.699 1.012 8.062
S 0.309 1.012 4.208
S 3.011 3.037 1.651
S 1.963 1.012 7.718
S 4.665 3.037 5.161
S 6.672 3.037 1.307
```

***

[12]
The following is a DFT calculation (PBE) of a geometry-optimized HoPaCu structure.

Values from the calculation:
As for the total energy: -5.489 eV/atom. Its volume is 24.7 Å³/atom. Its space group is F-43m, No. 216. The calculation puts the total moment at 0.95 μB/cell. For the energy above the lowest structure with this stoichiometry, the calculation gives 0 meV/atom. The formation energy from the elements is 441 meV per atom.

Structure (extended XYZ):
```
3
Lattice="0.000 3.334 3.334 3.334 0.000 3.334 3.334 3.334 0.000" Properties=species:S:1:pos:R:3 pbc="T T T"
Ho 0.000 0.000 0.000
Pa 3.334 3.334 3.334
Cu 1.667 1.667 1.667
```